No. 1
Compound: Ac3Al4Cu2
Source: Alexandria via LeMat-Bulk
Functional: GGA-PBE
Structure: relaxed

Unit cell a=4.3778 b=6.4671 c=8.9828 alpha=97.06 beta=90.00 gamma=109.78
With the nearest neighbours (Å) after each atom.
Fractional coordinates of all 9 atoms:
1 Ac 0.6678 0.3356 0.6640  8 Al 3.43-3.56, 4 Cu 3.46-3.48
2 Ac 0.0000 0.0000 0.0000  8 Al 3.41-3.51, 4 Cu 3.45
3 Ac 0.3322 0.6644 0.3360  8 Al 3.43-3.56, 4 Cu 3.46-3.48
4 Al 0.7214 0.4427 0.0636  1 Cu 2.49, 2 Al 2.61
5 Al 0.2786 0.5573 0.9364  1 Cu 2.49, 2 Al 2.61
6 Al 0.9458 0.8915 0.6183  2 Cu 2.51, 1 Al 2.64
7 Al 0.0542 0.1085 0.3817  2 Cu 2.51, 1 Al 2.64
8 Cu 0.6091 0.2182 0.2768  3 Al 2.49-2.51
9 Cu 0.3909 0.7818 0.7232  3 Al 2.49-2.51

Calculated values
**Energy of formation**: -2.56 eV per formula unit
**Calculated total energy**: -4.23 eV/atom

No. 2
Compound: MgPBr2
Source: Alexandria via LeMat-Bulk
Functional: GGA-PBE
Structure: relaxed

Unit cell a=5.0820 b=5.0820 c=5.0820 alpha=60.00 beta=60.00 gamma=60.00
With the nearest neighbours (Å) after each atom.
Fractional coordinates of all 4 atoms:
1 P 0.5000 0.5000 0.5000  8 Br 3.11
2 Mg 0.0000 0.0000 0.0000  8 Br 3.11
3 Br 0.2500 0.2500 0.2500  4 P 3.11, 4 Mg 3.11
4 Br 0.7500 0.7500 0.7500  4 Mg 3.11, 4 P 3.11

Calculated values
**Formation energy without anion corrections**: 218 meV/atom
**Calculated total energy**: -2.37 eV/atom
**Energy above the most stable polymorph in this dataset**: 3.019 eV/f.u.